Record 1
4
Lattice="0.0000 3.1272 3.1272 3.1272 0.0000 3.1272 3.1272 3.1272 0.0000" Properties=species:S:1:pos:R:3 comment="LaNi2H GGA-PBE relaxed" e_above_lowest_polymorph_kj_per_mol_fu=270.9 magnetic_moment_mub_per_fu=0.00 sg="No. 225" pbc="T T T"
La 0.0000 0.0000 0.0000
Ni 1.5636 1.5636 1.5636
Ni 4.6909 4.6909 4.6909
H 3.1272 3.1272 3.1272


Record 2
20
Lattice="5.3529 -8.2614 0.0000 5.3529 8.2614 0.0000 -5.3497 0.0000 7.6457" Properties=species:S:1:pos:R:3 comment="Pr3Nd2Ho5 GGA-PBE relaxed" e_above_lowest_polymorph_kj_per_mol_fu=0.0 magnetic_moment_mub_per_fu=0.00 sg="No. 15" formation_energy_ev_per_atom=0.177 pbc="T T T"
Pr 1.3374 2.0454 0.3557
Pr 1.3407 4.4444 5.7343
Pr -1.3374 -2.0454 4.1786
Pr 6.6936 2.0454 3.4671
Pr 4.0155 -4.4444 1.9114
Pr 4.0188 -2.0454 7.2900
Nd 1.3399 1.9825 3.4859
Nd -1.3349 -1.9825 7.3088
Nd 6.6911 1.9825 0.3369
Nd 4.0163 -1.9825 4.1598
Ho 1.3407 7.8289 5.7343
Ho -1.3528 1.8933 5.7862
Ho 4.0155 3.7455 1.9114
Ho 1.3220 -1.8933 1.9633
Ho 4.0155 0.4666 1.9114
Ho 1.3407 -0.4666 5.7343
Ho 4.0342 1.8933 5.6824
Ho 1.3407 -3.7455 5.7343
Ho 6.7090 -1.8933 1.8595
Ho 4.0155 -7.8289 1.9114


Record 3
4
Lattice="2.7374 0.0000 0.0000 0.0000 2.7374 0.0000 0.0000 0.0000 7.7216" Properties=species:S:1:pos:R:3 comment="NiMoPt2 GGA-PBE relaxed" e_above_lowest_polymorph_kj_per_mol_fu=46.1 magnetic_moment_mub_per_fu=0.00 sg="No. 99" formation_energy_ev_per_atom=-0.176 pbc="T T T"
Ni 0.0000 0.0000 0.0000
Mo 1.3687 1.3687 5.9762
Pt 0.0000 0.0000 3.9764
Pt 1.3687 1.3687 1.8365